# RuPb2Au

A relaxed RuPb2Au crystal (PBE, Alexandria via LeMat-Bulk). Values from VASP.

Quantum ESPRESSO input file:
```
&SYSTEM
  ibrav = 0, nat = 4, ntyp = 3
/
ATOMIC_SPECIES
Ru 101.07 Ru.upf
Au 196.97 Au.upf
Pb 207.20 Pb.upf
ATOMIC_POSITIONS crystal
Ru 0.250 0.250 0.250
Au 0.750 0.750 0.750
Pb 0.506 0.506 0.506
Pb 0.994 0.994 0.994
CELL_PARAMETERS angstrom
8.932 -0.031 -0.018
8.289 3.328 -0.018
8.289 1.587 2.925
```

Calculated values
Total magnetic moment (μB per atom): 0.0000
Energy relative to the lowest polymorph listed for this composition (meV per atom): 112
ΔH_f (0 K) (eV/atom): 0.358

# Ru2PbAu

A relaxed Ru2PbAu crystal (PBE, Alexandria via LeMat-Bulk). Values from VASP.

Quantum ESPRESSO input file:
```
&SYSTEM
  ibrav = 0, nat = 4, ntyp = 3
/
ATOMIC_SPECIES
Pb 207.20 Pb.upf
Ru 101.07 Ru.upf
Au 196.97 Au.upf
ATOMIC_POSITIONS crystal
Pb 0.750 0.750 0.750
Ru 0.500 0.500 0.500
Ru 0.000 0.000 0.000
Au 0.250 0.250 0.250
CELL_PARAMETERS angstrom
8.863 -0.001 -0.001
8.333 3.020 -0.001
8.333 1.463 2.642
```

Calculated values
Total magnetic moment (μB per atom): 0.1230
ΔH_f (0 K) (eV/atom): 0.693

# Ru2PbAu

A relaxed Ru2PbAu crystal (PBE, Alexandria via LeMat-Bulk). Values from VASP.

Quantum ESPRESSO input file:
```
&SYSTEM
  ibrav = 0, nat = 4, ntyp = 3
/
ATOMIC_SPECIES
Au 196.97 Au.upf
Ru 101.07 Ru.upf
Pb 207.20 Pb.upf
ATOMIC_POSITIONS crystal
Au 0.500 0.250 0.250
Ru 0.000 0.624 0.474
Ru 0.000 0.876 0.026
Pb 0.500 0.750 0.750
CELL_PARAMETERS angstrom
-2.083 -3.545 0.783
1.520 -1.379 -2.199
4.845 -2.291 2.522
```

Calculated values
Total magnetic moment (μB per atom): 0.1227
ΔH_f (0 K) (eV/atom): 0.600

# RuPb4Au

A relaxed RuPb4Au crystal (PBE, Alexandria via LeMat-Bulk). Values from VASP.

Quantum ESPRESSO input file:
```
&SYSTEM
  ibrav = 0, nat = 6, ntyp = 3
/
ATOMIC_SPECIES
Pb 207.20 Pb.upf
Au 196.97 Au.upf
Ru 101.07 Ru.upf
ATOMIC_POSITIONS crystal
Pb 0.375 0.375 0.874
Pb 0.874 0.375 0.375
Pb 0.375 0.874 0.375
Pb 0.375 0.375 0.375
Au 0.000 0.000 0.000
Ru 0.750 0.750 0.750
CELL_PARAMETERS angstrom
0.000 4.394 4.394
4.394 0.000 4.394
4.394 4.394 0.000
```

Calculated values
Total magnetic moment (μB per atom): 0.2721
ΔH_f (0 K) (eV/atom): 0.893

Number 1: DOS at the Fermi energy 3.438 states/eV/f.u.. Number 2: DOS at the Fermi energy 5.356 states/eV/f.u.. Number 3: DOS at the Fermi energy 5.510 states/eV/f.u.. Number 4: DOS at the Fermi energy 6.860 states/eV/f.u..